{"formula": "Dy4TlCdIn2", "functional": "PBE-GGA", "state": "relaxed", "density_g_cm3": 9.33, "dos_at_fermi_per_ev_fu": 6.76, "e_form_ev_per_atom": -0.41, "lattice": [[2.661, 1.536, 8.684], [-2.661, 1.536, 8.684], [0.000, -3.072, 8.684]], "species": ["Dy", "Dy", "Dy", "Dy", "Tl", "Cd", "In", "In"], "frac_coords": [[0.125, 0.125, 0.125], [0.375, 0.375, 0.375], [0.625, 0.625, 0.625], [0.875, 0.875, 0.875], [0.000, 0.000, 0.000], [0.500, 0.500, 0.500], [0.248, 0.248, 0.248], [0.752, 0.752, 0.752]]}



{"formula": "DyTlCdIn", "functional": "PBE-GGA", "state": "relaxed", "density_g_cm3": 9.56, "dos_at_fermi_per_ev_fu": 2.35, "e_form_ev_per_atom": -0.14, "de_polymorph_mev_per_atom": 160, "lattice": [[0.000, 3.723, 3.723], [3.723, 0.000, 3.723], [3.723, 3.723, 0.000]], "species": ["Dy", "Tl", "Cd", "In"], "frac_coords": [[0.000, 0.000, 0.000], [0.750, 0.750, 0.750], [0.500, 0.500, 0.500], [0.250, 0.250, 0.250]]}



{"formula": "Dy2TmCd2In2", "functional": "PBE-GGA", "state": "relaxed", "density_g_cm3": 8.44, "dos_at_fermi_per_ev_fu": 4.16, "e_form_ev_per_atom": -0.23, "lattice": [[2.464, 1.423, 8.870], [-2.464, 1.423, 8.870], [0.000, -2.846, 8.870]], "species": ["Dy", "Dy", "Tm", "Cd", "Cd", "In", "In"], "frac_coords": [[0.128, 0.128, 0.128], [0.872, 0.872, 0.872], [0.000, 0.000, 0.000], [0.394, 0.394, 0.394], [0.606, 0.606, 0.606], [0.260, 0.260, 0.260], [0.740, 0.740, 0.740]]}



{"formula": "DyY2Cd2In2", "functional": "PBE-GGA", "state": "relaxed", "density_g_cm3": 6.97, "dos_at_fermi_per_ev_fu": 4.08, "e_form_ev_per_atom": -0.26, "lattice": [[2.465, 1.423, 8.992], [-2.465, 1.423, 8.992], [0.000, -2.847, 8.992]], "species": ["Dy", "Y", "Y", "Cd", "Cd", "In", "In"], "frac_coords": [[0.000, 0.000, 0.000], [0.128, 0.128, 0.128], [0.872, 0.872, 0.872], [0.394, 0.394, 0.394], [0.606, 0.606, 0.606], [0.259, 0.259, 0.259], [0.741, 0.741, 0.741]]}



{"formula": "DyZnCdIn", "functional": "PBE-GGA", "state": "relaxed", "density_g_cm3": 8.34, "dos_at_fermi_per_ev_fu": 0.63, "e_form_ev_per_atom": -0.24, "lattice": [[0.000, 3.565, 3.565], [3.565, 0.000, 3.565], [3.565, 3.565, 0.000]], "species": ["Dy", "Zn", "Cd", "In"], "frac_coords": [[0.000, 0.000, 0.000], [0.750, 0.750, 0.750], [0.500, 0.500, 0.500], [0.250, 0.250, 0.250]]}



{"formula": "DyCdIr", "functional": "PBE-GGA", "state": "relaxed", "density_g_cm3": 10.75, "dos_at_fermi_per_ev_fu": 1.35, "e_form_ev_per_atom": -0.16, "lattice": [[7.012, -2.328, 0.000], [7.012, 2.328, 0.000], [-1.456, 0.000, 4.420]], "species": ["Dy", "Dy", "Cd", "Cd", "Ir", "Ir"], "frac_coords": [[0.000, 0.000, 0.000], [0.500, 0.500, 0.500], [0.177, 0.177, 0.670], [0.823, 0.823, 0.330], [0.381, 0.381, 0.888], [0.619, 0.619, 0.112]]}



{"formula": "Dy5Cd2Ir", "functional": "PBE-GGA", "state": "relaxed", "density_g_cm3": 9.32, "dos_at_fermi_per_ev_fu": 8.12, "e_form_ev_per_atom": -0.18, "lattice": [[2.796, -6.101, 0.000], [2.796, 6.101, 0.000], [0.000, 0.000, 12.843]], "species": ["Dy", "Dy", "Dy", "Dy", "Dy", "Dy", "Dy", "Dy", "Dy", "Dy", "Cd", "Cd", "Cd", "Cd", "Ir", "Ir"], "frac_coords": [[0.079, 0.921, 0.603], [0.079, 0.921, 0.897], [0.373, 0.627, 0.564], [0.373, 0.627, 0.936], [0.406, 0.594, 0.250], [0.594, 0.406, 0.750], [0.627, 0.373, 0.064], [0.627, 0.373, 0.436], [0.921, 0.079, 0.103], [0.921, 0.079, 0.397], [0.184, 0.816, 0.137], [0.184, 0.816, 0.363], [0.816, 0.184, 0.637], [0.816, 0.184, 0.863], [0.239, 0.761, 0.750], [0.761, 0.239, 0.250]]}



{"formula": "Dy4CdIr", "functional": "PBE-GGA", "state": "relaxed", "density_g_cm3": 10.06, "dos_at_fermi_per_ev_fu": 3.44, "e_form_ev_per_atom": -0.53, "de_polymorph_mev_per_atom": 0, "lattice": [[0.000, 6.804, 6.804], [6.804, 0.000, 6.804], [6.804, 6.804, 0.000]], "species": ["Dy", "Dy", "Dy", "Dy", "Dy", "Dy", "Dy", "Dy", "Dy", "Dy", "Dy", "Dy", "Dy", "Dy", "Dy", "Dy", "Cd", "Cd", "Cd", "Cd", "Ir", "Ir", "Ir", "Ir"], "frac_coords": [[0.060, 0.060, 0.440], [0.060, 0.440, 0.060], [0.060, 0.440, 0.440], [0.188, 0.188, 0.812], [0.188, 0.812, 0.188], [0.188, 0.812, 0.812], [0.202, 0.599, 0.599], [0.440, 0.060, 0.060], [0.440, 0.060, 0.440], [0.440, 0.440, 0.060], [0.599, 0.202, 0.599], [0.599, 0.599, 0.202], [0.599, 0.599, 0.599], [0.812, 0.188, 0.188], [0.812, 0.188, 0.812], [0.812, 0.812, 0.188], [0.507, 0.831, 0.831], [0.831, 0.507, 0.831], [0.831, 0.831, 0.507], [0.831, 0.831, 0.831], [0.392, 0.392, 0.392], [0.392, 0.392, 0.824], [0.392, 0.824, 0.392], [0.824, 0.392, 0.392]]}



{"formula": "Dy2CdIr", "functional": "PBE-GGA", "state": "relaxed", "density_g_cm3": 11.59, "dos_at_fermi_per_ev_fu": 2.76, "e_form_ev_per_atom": -0.55, "de_polymorph_mev_per_atom": 67, "lattice": [[0.000, 3.560, 3.560], [3.560, 0.000, 3.560], [3.560, 3.560, 0.000]], "species": ["Dy", "Dy", "Cd", "Ir"], "frac_coords": [[0.250, 0.250, 0.250], [0.750, 0.750, 0.750], [0.000, 0.000, 0.000], [0.500, 0.500, 0.500]]}



{"formula": "DyCdIr", "functional": "PBE-GGA", "state": "relaxed", "density_g_cm3": 12.45, "dos_at_fermi_per_ev_fu": 1.00, "e_form_ev_per_atom": -0.47, "lattice": [[7.336, -1.819, 0.000], [7.336, 1.819, 0.000], [-0.032, 0.000, 4.669]], "species": ["Dy", "Dy", "Cd", "Cd", "Ir", "Ir"], "frac_coords": [[0.081, 0.081, 0.252], [0.919, 0.919, 0.748], [0.233, 0.233, 0.751], [0.767, 0.767, 0.249], [0.422, 0.422, 0.248], [0.578, 0.578, 0.752]]}



{"formula": "Dy2CdIr", "functional": "PBE-GGA", "state": "relaxed", "density_g_cm3": 11.24, "dos_at_fermi_per_ev_fu": 1.47, "e_form_ev_per_atom": -0.62, "de_polymorph_mev_per_atom": 0, "lattice": [[3.521, 0.000, 0.000], [0.000, 3.521, 0.000], [0.000, 0.000, 7.505]], "species": ["Dy", "Dy", "Cd", "Ir"], "frac_coords": [[0.000, 0.000, 0.216], [0.000, 0.000, 0.784], [0.500, 0.500, 0.500], [0.500, 0.500, 0.000]]}



{"formula": "DyCdIr", "functional": "PBE-GGA", "state": "relaxed", "density_g_cm3": 10.76, "dos_at_fermi_per_ev_fu": 0.51, "e_form_ev_per_atom": -0.42, "lattice": [[0.000, 3.304, 3.304], [3.304, 0.000, 3.304], [3.304, 3.304, 0.000]], "species": ["Dy", "Cd", "Ir"], "frac_coords": [[0.000, 0.000, 0.000], [0.500, 0.500, 0.500], [0.750, 0.750, 0.750]]}



{"formula": "Dy11Cd9Ir4", "functional": "PBE-GGA", "state": "relaxed", "density_g_cm3": 10.20, "dos_at_fermi_per_ev_fu": 15.99, "e_form_ev_per_atom": -0.53, "lattice": [[7.221, -10.821, 0.000], [7.221, 10.821, 0.000], [0.000, 0.000, 3.717]], "species": ["Dy", "Dy", "Dy", "Dy", "Dy", "Dy", "Dy", "Dy", "Dy", "Dy", "Dy", "Cd", "Cd", "Cd", "Cd", "Cd", "Cd", "Cd", "Cd", "Cd", "Ir", "Ir", "Ir", "Ir"], "frac_coords": [[0.000, 0.000, 0.000], [0.086, 0.417, 0.000], [0.163, 0.837, 0.000], [0.301, 0.301, 0.000], [0.368, 0.632, 0.000], [0.417, 0.086, 0.000], [0.583, 0.914, 0.000], [0.632, 0.368, 0.000], [0.699, 0.699, 0.000], [0.837, 0.163, 0.000], [0.914, 0.583, 0.000], [0.066, 0.212, 0.500], [0.150, 0.634, 0.500], [0.212, 0.066, 0.500], [0.366, 0.850, 0.500], [0.500, 0.500, 0.500], [0.634, 0.150, 0.500], [0.788, 0.934, 0.500], [0.850, 0.366, 0.500], [0.934, 0.788, 0.500], [0.257, 0.453, 0.500], [0.453, 0.257, 0.500], [0.547, 0.743, 0.500], [0.743, 0.547, 0.500]]}



{"formula": "Dy5CdIr4", "functional": "PBE-GGA", "state": "relaxed", "density_g_cm3": 13.16, "dos_at_fermi_per_ev_fu": 8.05, "e_form_ev_per_atom": -0.74, "lattice": [[3.477, 0.000, 0.000], [0.000, 3.477, 0.000], [0.000, 0.000, 17.676]], "species": ["Dy", "Dy", "Dy", "Dy", "Dy", "Cd", "Ir", "Ir", "Ir", "Ir"], "frac_coords": [[0.000, 0.000, 0.000], [0.000, 0.000, 0.190], [0.000, 0.000, 0.379], [0.000, 0.000, 0.621], [0.000, 0.000, 0.810], [0.500, 0.500, 0.500], [0.500, 0.500, 0.096], [0.500, 0.500, 0.289], [0.500, 0.500, 0.711], [0.500, 0.500, 0.904]]}



{"formula": "Dy5Cd4Ir", "functional": "PBE-GGA", "state": "relaxed", "density_g_cm3": 9.72, "dos_at_fermi_per_ev_fu": 7.70, "e_form_ev_per_atom": -0.43, "lattice": [[3.614, 0.000, 0.000], [0.000, 3.614, 0.000], [0.000, 0.000, 19.031]], "species": ["Dy", "Dy", "Dy", "Dy", "Dy", "Cd", "Cd", "Cd", "Cd", "Ir"], "frac_coords": [[0.000, 0.000, 0.000], [0.000, 0.000, 0.206], [0.000, 0.000, 0.417], [0.000, 0.000, 0.583], [0.000, 0.000, 0.794], [0.500, 0.500, 0.103], [0.500, 0.500, 0.307], [0.500, 0.500, 0.693], [0.500, 0.500, 0.897], [0.500, 0.500, 0.500]]}



{"formula": "Dy2CdIr2", "functional": "PBE-GGA", "state": "relaxed", "density_g_cm3": 12.64, "dos_at_fermi_per_ev_fu": 2.83, "e_form_ev_per_atom": -0.70, "lattice": [[-2.216, 2.976, 4.093], [2.216, -2.976, 4.093], [2.216, 2.976, -4.093]], "species": ["Dy", "Dy", "Cd", "Ir", "Ir"], "frac_coords": [[0.208, 0.208, 0.000], [0.792, 0.792, 0.000], [0.500, 0.000, 0.500], [0.213, 0.500, 0.713], [0.787, 0.500, 0.287]]}



{"formula": "Dy2CdIr2", "functional": "PBE-GGA", "state": "relaxed", "density_g_cm3": 12.56, "dos_at_fermi_per_ev_fu": 1.48, "e_form_ev_per_atom": -0.68, "lattice": [[5.098, -2.709, 0.000], [5.098, 2.709, 0.000], [-2.747, 0.000, 7.868]], "species": ["Dy", "Dy", "Dy", "Dy", "Cd", "Cd", "Ir", "Ir", "Ir", "Ir"], "frac_coords": [[0.017, 0.693, 0.852], [0.307, 0.983, 0.648], [0.693, 0.017, 0.352], [0.983, 0.307, 0.148], [0.335, 0.665, 0.250], [0.665, 0.335, 0.750], [0.198, 0.517, 0.481], [0.483, 0.802, 0.019], [0.517, 0.198, 0.981], [0.802, 0.483, 0.519]]}



{"formula": "Dy4CdIr2", "functional": "PBE-GGA", "state": "relaxed", "density_g_cm3": 11.02, "dos_at_fermi_per_ev_fu": 4.98, "e_form_ev_per_atom": -0.60, "lattice": [[6.915, 0.000, 0.000], [-1.630, 6.722, 0.000], [-2.642, -3.361, 7.436]], "species": ["Dy", "Dy", "Dy", "Dy", "Dy", "Dy", "Dy", "Dy", "Cd", "Cd", "Ir", "Ir", "Ir", "Ir"], "frac_coords": [[0.000, 0.000, 0.000], [0.009, 0.509, 0.019], [0.024, 0.748, 0.587], [0.303, 0.172, 0.465], [0.430, 0.625, 0.871], [0.446, 0.670, 0.431], [0.569, 0.263, 0.148], [0.847, 0.217, 0.554], [0.557, 0.069, 0.775], [0.791, 0.804, 0.243], [0.023, 0.362, 0.315], [0.200, 0.210, 0.825], [0.384, 0.894, 0.194], [0.718, 0.557, 0.704]]}



{"formula": "Dy3Cd2Ir", "functional": "PBE-GGA", "state": "relaxed", "density_g_cm3": 10.45, "dos_at_fermi_per_ev_fu": 3.12, "e_form_ev_per_atom": -0.52, "lattice": [[2.527, -7.588, 0.000], [2.527, 7.588, 0.000], [0.000, 0.000, 7.497]], "species": ["Dy", "Dy", "Dy", "Dy", "Dy", "Dy", "Cd", "Cd", "Cd", "Cd", "Ir", "Ir"], "frac_coords": [[0.000, 0.000, 0.233], [0.000, 0.000, 0.767], [0.325, 0.675, 0.222], [0.325, 0.675, 0.778], [0.675, 0.325, 0.222], [0.675, 0.325, 0.778], [0.165, 0.835, 0.500], [0.500, 0.500, 0.000], [0.500, 0.500, 0.500], [0.835, 0.165, 0.500], [0.156, 0.844, 0.000], [0.844, 0.156, 0.000]]}



{"formula": "DyCdIr", "functional": "PBE-GGA", "state": "relaxed", "density_g_cm3": 12.14, "dos_at_fermi_per_ev_fu": 1.25, "e_form_ev_per_atom": -0.38, "lattice": [[-1.706, 1.706, 5.488], [1.706, -1.706, 5.488], [1.706, 1.706, -5.488]], "species": ["Dy", "Cd", "Ir"], "frac_coords": [[0.000, 0.000, 0.000], [0.710, 0.710, 0.000], [0.360, 0.360, 0.000]]}